# 1
Ce2SnRu: optimized geometry, GGA-PBE.

Properties
As for the uncorrected energy: -52.19 eV/cell. The calculation puts the energy above the most stable polymorph in this dataset at 251 meV per atom. The value obtained for the formation enthalpy at 0 K is -0.24 eV per atom.

a = 4.176 Å, b = 4.154 Å, c = 12.244 Å
α = 99.77°, β = 90.00°, γ = 90.00°
Site moments in Bohr magnetons follow the coordinates.
Sites, in units of the cell vectors:
Ce1 0.000 0.500 0.000  0.16
Ce2 0.500 0.000 0.000  0.16
Ce3 0.500 0.689 0.377  0.76
Ce4 0.500 0.311 0.623  0.76
Sn1 0.000 0.890 0.780  -0.01
Sn2 0.000 0.110 0.220  -0.01
Ru1 0.500 0.594 0.188  -0.07
Ru2 0.500 0.406 0.812  -0.07

# 2
PrSm2Tm7: optimized geometry, GGA-PBE.

Properties
As for the uncorrected energy: -45.02 eV/cell. The calculation puts the energy above the most stable polymorph in this dataset at 0 meV per atom. The value obtained for the formation enthalpy at 0 K is 0.05 eV per atom.

a = 5.588 Å, b = 8.921 Å, c = 10.019 Å
α = 125.41°, β = 106.30°, γ = 51.15°
Sites, in units of the cell vectors:
Pr1 0.000 0.000 0.000
Sm1 0.636 0.578 0.430
Sm2 0.364 0.422 0.570
Tm1 0.852 0.937 0.579
Tm2 0.148 0.063 0.421
Tm3 0.804 0.596 0.798
Tm4 0.196 0.404 0.202
Tm5 0.709 0.888 0.194
Tm6 0.291 0.112 0.806
Tm7 0.500 0.500 0.000

# 3
Hf2ReAgHg: optimized geometry, GGA-PBE.

Properties
As for the uncorrected energy: -26.34 eV/cell. The calculation puts the energy above the most stable polymorph in this dataset at 305 meV per atom. The value obtained for the formation enthalpy at 0 K is 1.83 eV per atom.

a = 5.139 Å, b = 4.806 Å, c = 5.139 Å
α = 90.00°, β = 90.00°, γ = 90.00°
Sites, in units of the cell vectors:
Re1 0.500 0.500 0.500
Hf1 0.000 0.000 0.500
Hf2 0.500 0.000 0.000
Hg1 0.000 0.000 0.000
Ag1 0.000 0.500 0.000

# 4
Si2HgMo: optimized geometry, GGA-PBE.

Properties
As for the uncorrected energy: -21.32 eV/cell. The calculation puts the uncorrected formation energy at 0.165 eV per atom.

a = 3.071 Å, b = 3.252 Å, c = 7.321 Å
α = 81.92°, β = 90.00°, γ = 90.00°
Sites, in units of the cell vectors:
Hg1 0.500 0.250 0.250
Mo1 0.500 0.750 0.750
Si1 0.000 0.193 0.929
Si2 0.000 0.307 0.571